This record from Alexandria describes PmPr3Ho2 after structural relaxation. The functional is PBE-GGA.

a b c (Å): 8.8164 8.8164 8.8164
angles (deg): 98.43 97.39 136.45
Atoms (fractional coordinates):
1 Pm 0.4597 0.2097 0.2500
2 Pm 0.5403 0.7903 0.7500
3 Pr 0.0000 0.0000 0.5000
4 Pr 0.0000 0.2161 0.2161
5 Pr 0.0000 0.5000 0.0000
6 Pr 0.0000 0.7839 0.7839
7 Pr 0.5000 0.2161 0.7161
8 Pr 0.5000 0.7839 0.2839
9 Ho 0.0985 0.6920 0.4064
10 Ho 0.2144 0.3080 0.9064
11 Ho 0.7856 0.6920 0.0936
12 Ho 0.9015 0.3080 0.5936

Properties
- Formation energy: 0.29 eV/atom
- Relative energy among the computed polymorphs: 0.183 eV per atom
- Fermi-level density of states: 18.709 states/eV per cell
- Electronic total energy: -4.418 eV/atom